Below is an optimized crystal structure of Rb4Na2Au, with properties calculated at the PBE level.

Computed properties:
The volume comes out at 66.418 A^3/atom. The energy above the most stable polymorph in this dataset comes out at 0.043 eV per atom. The space group is I4/mmm. For the electronic total energy, the calculation gives -1.42 eV per atom. The calculated formation energy is -0.02 eV/atom. The density of states at the Fermi level comes out at 0.72 states/eV per atom. As for the spin magnetization: 0.00 μB per cell.

a b c (Å): 6.7403 6.7403 11.2889
angles (deg): 107.37 107.37 90.00
Closest atoms and distances in Å follow each position.
Fractional coordinates of all 7 atoms:
Na (0.6283, 0.6283, 0.2565)  5 Rb 4.08-4.27
Na (0.3717, 0.3717, 0.7435)  5 Rb 4.08-4.27
Rb (0.8276, 0.8276, 0.6551)  1 Au 3.53
Rb (0.0000, 0.5000, 0.0000)  2 Au 3.37
Rb (0.1724, 0.1724, 0.3449)  1 Au 3.53
Rb (0.5000, 0.0000, 0.0000)  2 Au 3.37
Au (0.0000, 0.0000, 0.0000)  6 Rb 3.37-3.53